Version P
Computed, not measured: Ag2Ir after structural relaxation at the PBE level of DFT.

The value obtained for the size of the total moment is 1.0 μB/f.u.

The space group is Fd-3m (No. 227, origin choice 2) and the conventional cell measures 11.6884, 11.6884 and 11.6884 Å, with angles of 90.00, 90.00 and 90.00 degrees. The inequivalent atoms are Ag at (0.0000, 0.0000, 0.0000) and Ir at (0.1250, 0.1250, 0.1250).

Version Q
Computed, not measured: Ag2Ir after structural relaxation at the PBE level of DFT.

The value obtained for the size of the total moment is 0.7 μB/f.u.

The space group is Fm-3m (No. 225) and the conventional cell measures 6.1959, 6.1959 and 6.1959 Å, with angles of 90.00, 90.00 and 90.00 degrees. The inequivalent atoms are Ag at (0.2500, 0.2500, 0.2500) and Ir at (0.0000, 0.0000, 0.0000).

What is the most stable structure shown above? It is version Q.